Compound: SrTi2Ni2O7
Source: Alexandria via LeMat-Bulk
Functional: GGA+U
Structure: relaxed

Raw total energy, eV per atom: -7.165
Theoretical density, g/cm3: 5.009
Space group: Imm2 (44)
Size of the total moment, μB per atom: 0.333

Cell lengths 3.9952, 4.1792, 8.6904 Å; angles 103.91, 103.29, 90.00 degrees
Last column: nearest neighbours and their distance in Å.
Sites, in units of the cell vectors:
O (0.6155, 0.0936, 0.2310)  1 Ti 1.81
O (0.5000, 0.4703, 0.0000)  2 Ti 1.91
O (0.3845, 0.8626, 0.7690)  1 Ti 1.81
Sr (0.0000, 0.0472, 0.0000)  8 O 2.67-2.77
O (0.1179, 0.6120, 0.2357)  2 Ti 2.01, 1 Ni 2.18
O (0.8821, 0.3762, 0.7643)  2 Ti 2.01, 1 Ni 2.18
O (0.7350, 0.7193, 0.4700)  1 Ti 1.98, 4 Ni 2.01-2.13
O (0.2650, 0.2493, 0.5300)  1 Ti 1.98, 4 Ni 2.01-2.13
Ni (0.2509, 0.7409, 0.5018)  6 O 2.01-2.19
Ni (0.7491, 0.2391, 0.4982)  6 O 2.01-2.19
Ti (0.3849, 0.4295, 0.7698)  5 O 1.81-2.01
Ti (0.6151, 0.6596, 0.2302)  5 O 1.81-2.01